This record from Alexandria describes an optimized crystal structure of BiOF. The functional is PBE.

Properties
Crystal system: orthorhombic
Total energy (eV/atom): -5.383
Space-group type: Pnma, No. 62
ΔE_f (raw) (meV per atom): -1813.1

Cell and atoms, written as POSCAR:
```
BiOF
1.0
-3.368 0.969 2.003
-2.747 -4.781 -2.306
2.509 -4.534 6.411
Bi O F
4 4 4
direct
0.250 0.292 0.104
0.750 0.792 0.396
0.250 0.208 0.604
0.750 0.708 0.896
0.750 0.472 0.105
0.250 0.972 0.395
0.750 0.028 0.605
0.250 0.528 0.895
0.750 0.964 0.133
0.250 0.464 0.367
0.750 0.536 0.633
0.250 0.036 0.867
```



This record from Alexandria describes an optimized crystal structure of BiOF. The functional is PBE.

Properties
Crystal system: hexagonal
Total energy (eV/atom): -5.246
Space-group type: P-6m2, No. 187
ΔE_f (raw) (meV per atom): -1675.6

Cell and atoms, written as POSCAR:
```
BiOF
1.0
-0.460 -3.916 0.360
0.288 1.637 -3.593
4.569 -0.525 0.127
O F Bi
1 1 1
direct
0.333 0.667 0.500
0.667 0.333 0.000
0.667 0.333 0.500
```